First-principles (SCAN) data for a PBEsol-optimized structure of CoSbOs, as listed in the Alexandria database.

Geometry as extended XYZ:
```
3
Lattice="-1.503 1.869 4.008 1.503 -1.869 4.008 1.503 1.869 -4.008" Properties=species:S:1:pos:R:3 pbc="T T T"
Co 0.000 0.000 0.000
Sb 0.000 0.000 2.601
Os 0.000 0.000 5.239
```

energy relative to the elements, uncorrected	502	meV per atom
DOS(E_F)	1.87	states/eV/cell

=====

First-principles (SCAN) data for a PBEsol-optimized structure of Ni8Mo, as listed in the Alexandria database.

Geometry as extended XYZ:
```
9
Lattice="-3.712 3.712 1.762 3.712 -3.712 1.762 3.712 3.712 -1.762" Properties=species:S:1:pos:R:3 pbc="T T T"
Ni 2.481 0.000 0.000
Ni 4.943 0.000 0.000
Ni 2.470 2.470 0.000
Ni 1.242 -1.242 1.762
Ni 0.000 2.481 0.000
Ni 0.000 4.943 0.000
Ni -1.242 1.242 1.762
Ni 1.242 1.242 1.762
Mo 0.000 0.000 0.000
```

DOS(E_F)	12.94	states/eV/cell
electronic total energy	-18.227	eV per atom

=====

First-principles (SCAN) data for a PBEsol-optimized structure of KTcPt2, as listed in the Alexandria database.

Geometry as extended XYZ:
```
4
Lattice="4.571 -1.363 0.000 4.571 1.363 0.000 -0.724 0.000 6.374" Properties=species:S:1:pos:R:3 pbc="T T T"
K 0.000 0.000 0.000
Tc 6.797 0.000 2.371
Pt 1.650 0.000 4.477
Pt 4.283 0.000 3.070
```

energy above the most stable polymorph in this dataset	0.21	eV per formula unit
DOS(E_F)	2.24	states/eV/cell